1.
# VRhN2O

Crystalline VRhN2O at its relaxed geometry (GGA+U, Alexandria via LeMat-Bulk).

The structure in CIF format:
```
data_VRhN2O
_chemical_formula_sum 'V1 Rh1 N2 O1'
_symmetry_space_group_name_H-M 'P 1'
_symmetry_Int_Tables_number 1
_cell_length_a 3.8070
_cell_length_b 3.8070
_cell_length_c 3.9764
_cell_angle_alpha 90.00
_cell_angle_beta 90.00
_cell_angle_gamma 90.00
loop_
_symmetry_equiv_pos_as_xyz
'x,y,z'
loop_
_atom_site_label
_atom_site_fract_x
_atom_site_fract_y
_atom_site_fract_z
V1 0.0000 0.0000 0.0000
Rh1 0.5000 0.5000 0.5000
N1 0.0000 0.5000 0.5000
N2 0.5000 0.0000 0.5000
O1 0.5000 0.5000 0.0000
```

Values from the calculation:
The value obtained for the volume is 11.526 A^3/atom.

***

2.
# Cs3W2O8

Crystalline Cs3W2O8 at its relaxed geometry (GGA+U, Alexandria via LeMat-Bulk).

The structure in CIF format:
```
data_Cs3W2O8
_chemical_formula_sum 'Cs3 W2 O8'
_symmetry_space_group_name_H-M 'P 1'
_symmetry_Int_Tables_number 1
_cell_length_a 8.7632
_cell_length_b 8.7632
_cell_length_c 8.7632
_cell_angle_alpha 44.98
_cell_angle_beta 44.98
_cell_angle_gamma 44.98
loop_
_symmetry_equiv_pos_as_xyz
'x,y,z'
loop_
_atom_site_label
_atom_site_fract_x
_atom_site_fract_y
_atom_site_fract_z
Cs1 0.0000 0.0000 0.0000
Cs2 0.1988 0.1988 0.1988
Cs3 0.8012 0.8012 0.8012
W1 0.4061 0.4061 0.4061
W2 0.5939 0.5939 0.5939
O1 0.2724 0.7167 0.7167
O2 0.2833 0.2833 0.7276
O3 0.2833 0.7276 0.2833
O4 0.3288 0.3288 0.3288
O5 0.6712 0.6712 0.6712
O6 0.7167 0.2724 0.7167
O7 0.7167 0.7167 0.2724
O8 0.7276 0.2833 0.2833
```

Values from the calculation:
The value obtained for the volume is 23.543 A^3/atom.

***

Number 1: D(E_F) 4.619 states/eV per cell, E -6.139 eV per atom, total moment 0.060 μB/atom. Number 2: D(E_F) 17.613 states/eV per cell, E -6.229 eV per atom, total moment 0.088 μB/atom.